[1]
DFT (PBE-GGA) results for an optimized crystal structure of HoTlTeS.

abc: 4.2119 4.2119 24.1229
angles: 90.00 90.00 120.00
With the nearest neighbours (Å) after each atom.
Space group R3m (No. 160, hexagonal axes)
Inequivalent atoms, fractional coordinates:
Ho1 0.0000 0.0000 0.0000  3 S 2.73
Tl1 0.0000 0.0000 0.8395  3 Te 3.29, 3 S 3.59
Te1 0.0000 0.0000 0.4143  3 Ho 3.12, 3 Tl 3.29
S1 0.0000 0.0000 0.6157  3 Ho 2.73

Output
- Formation energy from raw total energies: -4.9 eV per formula unit

***

[2]
DFT (PBE-GGA) results for an optimized crystal structure of Ho2TmTe2S2.

abc: 4.9852 4.9852 15.5398
angles: 90.00 90.00 90.00
With the nearest neighbours (Å) after each atom.
Space group I4/mmm (No. 139)
Inequivalent atoms, fractional coordinates:
Ho1 0.0000 0.0000 0.1118  4 S 3.04, 1 Te 3.09
Tm1 0.0000 0.0000 0.5000  4 S 2.49
Te1 0.0000 0.0000 0.3109  1 Tm 2.94, 1 Ho 3.09
S1 0.0000 0.5000 0.0000  2 Tm 2.49

Output
- Formation energy from raw total energies: -9.3 eV per formula unit